Below is crystalline BaCoTc at its relaxed geometry, with properties calculated at the PBE-GGA level.

a b c (Å): 10.433 4.739 4.694
angles (deg): 61.13 110.80 103.45
Atoms (fractional coordinates):
Co1 0.190 0.627 0.815
Co2 0.207 0.100 0.888
Ba1 0.479 0.010 0.767
Ba2 0.911 0.451 0.393
Tc1 0.251 0.589 0.389
Tc2 0.138 0.120 0.308

Results
Space group: No. 1
ΔE_f: 0.3691 eV/atom
Uncorrected energy: -36.57 eV for the cell shown

Below is crystalline Ba3CoTc at its relaxed geometry, with properties calculated at the PBE-GGA level.

a b c (Å): 5.753 5.753 5.753
angles (deg): 90.00 90.00 90.00
Atoms (fractional coordinates):
Co1 0.000 0.000 0.000
Ba1 0.000 0.500 0.000
Ba2 0.000 0.000 0.500
Ba3 0.500 0.000 0.000
Tc1 0.500 0.500 0.500

Results
Space group: No. 221
ΔE_f: 0.9955 eV/atom
Uncorrected energy: -18.26 eV for the cell shown

Below is crystalline BaCo3Tc at its relaxed geometry, with properties calculated at the PBE-GGA level.

a b c (Å): 4.644 4.644 4.644
angles (deg): 90.00 90.00 90.00
Atoms (fractional coordinates):
Co1 0.000 0.500 0.000
Co2 0.000 0.000 0.500
Co3 0.500 0.000 0.000
Ba1 0.500 0.500 0.500
Tc1 0.000 0.000 0.000

Results
Space group: No. 221
ΔE_f: 0.8709 eV/atom
Uncorrected energy: -29.25 eV for the cell shown

Below is crystalline Ba2CoTc at its relaxed geometry, with properties calculated at the PBE-GGA level.

a b c (Å): 11.764 11.764 8.608
angles (deg): 46.90 46.90 90.00
Atoms (fractional coordinates):
Co1 0.500 0.500 0.000
Co2 0.250 0.750 0.500
Ba1 0.306 0.125 0.250
Ba2 0.444 0.625 0.250
Ba3 0.375 0.694 0.750
Ba4 0.875 0.556 0.750
Tc1 0.000 0.000 0.000
Tc2 0.750 0.250 0.500

Results
Space group: No. 122
ΔE_f: 0.7366 eV/atom
Uncorrected energy: -36.74 eV for the cell shown

Below is crystalline BaCoTc at its relaxed geometry, with properties calculated at the PBE-GGA level.

a b c (Å): 4.321 4.321 9.484
angles (deg): 90.00 90.00 90.00
Atoms (fractional coordinates):
Co1 0.000 0.500 0.404
Co2 0.500 0.000 0.596
Ba1 0.000 0.500 0.784
Ba2 0.500 0.000 0.216
Tc1 0.000 0.000 0.500
Tc2 0.500 0.500 0.500

Results
Space group: No. 129
ΔE_f: 0.3116 eV/atom
Uncorrected energy: -36.92 eV for the cell shown

Below is crystalline Ba2CoTc at its relaxed geometry, with properties calculated at the PBE-GGA level.

a b c (Å): 3.733 3.769 8.955
angles (deg): 65.06 90.00 90.00
Atoms (fractional coordinates):
Ba1 0.000 0.988 0.012
Ba2 0.000 0.512 0.488
Co1 0.500 0.250 0.250
Tc1 0.500 0.750 0.750

Results
Space group: No. 47
ΔE_f: 1.0675 eV/atom
Uncorrected energy: -17.05 eV for the cell shown

Below is crystalline Ba2Co2Tc at its relaxed geometry, with properties calculated at the PBE-GGA level.

a b c (Å): 3.401 3.401 10.602
angles (deg): 80.77 80.77 90.00
Atoms (fractional coordinates):
Co1 0.750 0.250 0.500
Co2 0.250 0.750 0.500
Ba1 0.388 0.388 0.224
Ba2 0.612 0.612 0.776
Tc1 0.000 0.000 0.000

Results
Space group: No. 139
ΔE_f: 0.8867 eV/atom
Uncorrected energy: -23.99 eV for the cell shown

Below is crystalline Ba2CoTc at its relaxed geometry, with properties calculated at the PBE-GGA level.

a b c (Å): 5.501 5.501 5.501
angles (deg): 60.00 60.00 60.00
Atoms (fractional coordinates):
Co1 0.000 0.000 0.000
Ba1 0.250 0.250 0.250
Ba2 0.750 0.750 0.750
Tc1 0.500 0.500 0.500

Results
Space group: No. 225
ΔE_f: 1.0941 eV/atom
Uncorrected energy: -16.94 eV for the cell shown

Below is crystalline BaCoTc at its relaxed geometry, with properties calculated at the PBE-GGA level.

a b c (Å): 3.971 3.971 10.644
angles (deg): 90.00 90.00 120.00
Atoms (fractional coordinates):
Co1 0.333 0.667 0.750
Co2 0.667 0.333 0.250
Ba1 0.000 0.000 0.000
Ba2 0.000 0.000 0.500
Tc1 0.333 0.667 0.250
Tc2 0.667 0.333 0.750

Results
Space group: No. 194
ΔE_f: 0.5490 eV/atom
Uncorrected energy: -35.50 eV for the cell shown

Below is crystalline BaCoTc at its relaxed geometry, with properties calculated at the PBE-GGA level.

a b c (Å): 6.055 4.032 11.956
angles (deg): 90.00 90.00 90.00
Atoms (fractional coordinates):
Co1 0.409 0.250 0.457
Co2 0.091 0.750 0.957
Co3 0.591 0.750 0.543
Co4 0.909 0.250 0.043
Ba1 0.889 0.250 0.363
Ba2 0.611 0.750 0.863
Ba3 0.111 0.750 0.637
Ba4 0.389 0.250 0.137
Tc1 0.108 0.250 0.865
Tc2 0.392 0.750 0.365
Tc3 0.892 0.750 0.135
Tc4 0.608 0.250 0.635

Results
Space group: No. 62
ΔE_f: 0.6438 eV/atom
Uncorrected energy: -69.85 eV for the cell shown

Below is crystalline BaCoTc at its relaxed geometry, with properties calculated at the PBE-GGA level.

a b c (Å): 10.428 3.934 4.648
angles (deg): 115.02 101.08 90.10
Atoms (fractional coordinates):
Co1 0.298 0.163 0.992
Co2 0.172 0.556 0.779
Ba1 0.488 0.530 0.723
Ba2 0.893 0.908 0.487
Tc1 0.223 0.866 0.398
Tc2 0.102 0.257 0.181

Results
Space group: No. 1
ΔE_f: 0.3976 eV/atom
Uncorrected energy: -36.40 eV for the cell shown

Below is crystalline BaCo3Tc at its relaxed geometry, with properties calculated at the PBE-GGA level.

a b c (Å): 4.748 4.748 4.748
angles (deg): 90.00 90.00 90.00
Atoms (fractional coordinates):
Co1 0.000 0.500 0.000
Co2 0.000 0.000 0.500
Co3 0.500 0.000 0.000
Ba1 0.000 0.000 0.000
Tc1 0.500 0.500 0.500

Results
Space group: No. 221
ΔE_f: 2.5705 eV/atom
Uncorrected energy: -20.75 eV for the cell shown